PBE PmMgSe, relaxed; DFT total energy = -0.15675 hartree per atom; total magnetic moment = 0.000 μB/f.u.; SG = R-3m; crystal system = trigonal; uncorrected formation energy = -0.989 eV/atom
1.0
-4.026 0.541 2.926
-0.075 -2.063 4.561
1.721 6.084 5.527
Pm Se Mg
2 2 2
direct
0.413 0.413 0.760
0.587 0.587 0.240
0.716 0.716 0.853
0.284 0.284 0.147
0.830 0.830 0.511
0.170 0.170 0.489